# ScP5

A geometry-optimized ScP5 structure (PBE-GGA, the Alexandria database).

Properties
Fermi-level density of states ... 0.316 states/eV/atom
Formation enthalpy at 0 K ... -0.04 eV/atom
Total energy ... -5.61 eV per atom

Unit cell a=3.4394 b=3.4394 c=10.1834 alpha=90.00 beta=90.00 gamma=90.00
Last column: nearest neighbours and their distance in Å.
Element x y z (fractional)
P 0.0000 0.0000 0.5000  8 P 2.66
P 0.5000 0.5000 0.3951  1 P 2.14
P 0.0000 0.0000 0.8916  1 P 2.21
P 0.5000 0.5000 0.6049  1 P 2.14
P 0.0000 0.0000 0.1084  1 P 2.21
Sc 0.5000 0.5000 0.0000  8 P 2.67